VASP calculation (PBE) on an optimized crystal structure of RePRh.

```
RePRh
1.0
0.0000 2.8045 2.8045
2.8045 0.0000 2.8045
2.8045 2.8045 0.0000
P Rh Re
1 1 1
Cartesian
1.4023 1.4023 1.4023
2.8045 2.8045 2.8045
0.0000 0.0000 0.0000
```

Calculated formation energy, eV/atom: -0.187
Total magnetic moment, μB/cell: 0.000
SG: No. 216
Crystal system: cubic


VASP calculation (PBE) on an optimized crystal structure of La2YTl.

```
La2YTl
1.0
-6.3295 3.9968 5.3166
-2.4463 -8.2236 3.2698
-2.2031 -1.8175 6.6718
Tl Y La
2 2 4
Cartesian
0.0000 0.0000 0.0000
-6.4602 0.0329 8.1408
-4.5187 -6.0773 7.1174
-4.3879 -2.1134 4.2932
-4.8826 -2.7443 8.1427
-2.7140 -5.1936 4.2443
-4.9694 1.1148 5.5314
-9.3918 -5.2655 12.5980
```

Calculated formation energy, eV/atom: 0.050
Total magnetic moment, μB/cell: 0.000
SG: No. 122
Crystal system: tetragonal


VASP calculation (PBE) on an optimized crystal structure of NaHgPb4.

```
NaHgPb4
1.0
-4.9175 2.3528 3.6265
-4.3800 -4.0957 2.6286
-0.0698 -1.0069 6.4692
Pb Hg Na
4 1 1
Cartesian
-5.8203 -1.2151 4.7171
-3.3950 -2.8960 6.1393
-5.8552 -1.7188 7.9536
-3.6639 0.3303 6.6385
-2.3418 -0.6874 3.1811
0.0000 0.0000 0.0000
```

Calculated formation energy, eV/atom: 0.071
Total magnetic moment, μB/cell: 0.000
SG: No. 216
Crystal system: cubic


VASP calculation (PBE) on an optimized crystal structure of Cr2NiHgMo.

```
Cr2NiHgMo
1.0
-1.8813 3.6362 2.1671
-4.1903 -1.6666 -0.8413
0.1204 -2.3245 4.0050
Cr Ni Mo Hg
2 1 1 1
Cartesian
0.0602 -1.1623 2.0025
-0.9407 1.8181 1.0835
-2.0952 -0.8333 -0.4207
0.0000 0.0000 0.0000
-2.9756 -0.1775 2.6653
```

Calculated formation energy, eV/atom: 1.283
Total magnetic moment, μB/cell: 4.576
SG: No. 123
Crystal system: tetragonal


VASP calculation (PBE) on an optimized crystal structure of CeBe2AlPd5.

```
CeBe2AlPd5
1.0
4.4072 0.0000 0.0000
0.0000 4.4072 0.0000
0.0000 0.0000 7.1896
Pd Be Al Ce
5 2 1 1
Cartesian
2.2036 0.0000 5.7077
2.2036 2.2036 3.5948
2.2036 0.0000 1.4820
0.0000 2.2036 5.7077
0.0000 2.2036 1.4820
2.2036 2.2036 6.0331
2.2036 2.2036 1.1565
0.0000 0.0000 0.0000
0.0000 0.0000 3.5948
```

Calculated formation energy, eV/atom: -0.559
Total magnetic moment, μB/cell: 0.752
SG: No. 123
Crystal system: tetragonal


VASP calculation (PBE) on an optimized crystal structure of Ni2PAu.

```
Ni2PAu
1.0
-1.8206 1.8206 3.9844
1.8206 -1.8206 3.9844
1.8206 1.8206 -3.9844
P Ni Au
1 2 1
Cartesian
0.0000 0.0000 3.9844
1.8206 0.0000 1.9922
0.0000 0.0000 0.0000
0.0000 1.8206 1.9922
```

Calculated formation energy, eV/atom: 0.141
Total magnetic moment, μB/cell: 0.000
SG: No. 119
Crystal system: tetragonal


VASP calculation (PBE) on an optimized crystal structure of SrMn2GaAs.

```
SrMn2GaAs
1.0
4.5841 0.0000 0.0000
0.0000 5.1484 0.0000
0.0000 0.0000 4.5841
Sr As Mn Ga
1 1 2 1
Cartesian
2.2921 2.5742 2.2921
0.0000 0.0000 0.0000
0.0000 0.0000 2.2921
2.2921 0.0000 0.0000
0.0000 2.5742 0.0000
```

Calculated formation energy, eV/atom: 0.633
Total magnetic moment, μB/cell: 0.459
SG: No. 123
Crystal system: tetragonal


VASP calculation (PBE) on an optimized crystal structure of ReTeBr2.

```
ReTeBr2
1.0
-2.2529 -2.1738 1.0230
2.2080 1.0667 7.1295
-1.6077 4.4342 5.8818
Br Re Te
2 1 1
Cartesian
0.2344 2.1484 5.0816
0.0658 0.6020 1.4240
-0.9764 0.2883 3.7643
-0.6762 3.0388 10.2699
```

Raw formation energy, eV/atom: 0.150
Total magnetic moment, μB/cell: 0.000
SG: No. 65
Crystal system: orthorhombic


VASP calculation (PBE) on an optimized crystal structure of ThGeO.

```
ThGeO
1.0
6.1241 0.0239 0.0457
-2.2547 7.4553 -0.5932
1.6146 2.7367 5.2355
Th Ge O
4 4 4
Cartesian
-1.3838 7.9952 1.6627
1.6782 5.9619 2.7546
4.5342 3.8158 1.0950
5.3415 3.1389 4.7819
0.2951 8.6212 4.2110
1.6414 2.8110 0.5235
3.3571 7.6970 4.7232
2.4487 3.2431 3.6305
6.2368 5.2470 4.4218
0.8138 7.4423 1.1937
3.8759 5.8924 2.0329
5.4295 2.3168 2.6204
```

Raw formation energy, eV/atom: -1.858
Total magnetic moment, μB/cell: 0.000
SG: No. 43
Crystal system: orthorhombic


VASP calculation (PBE) on an optimized crystal structure of MgSnIO6.

```
MgSnIO6
1.0
-0.4524 1.6911 5.0486
-0.0005 -5.2343 -1.0745
9.1604 -0.1819 0.8818
O Sn I Mg
12 2 2 2
Cartesian
5.7715 -1.9442 0.2299
7.9591 -3.5823 0.1131
5.6210 -4.7149 1.2216
0.8984 -2.2987 2.7397
2.9360 -1.7808 4.6260
5.4833 -2.4624 3.1163
1.0366 0.5181 1.8856
7.6709 -4.2432 2.9702
0.7484 -0.1427 4.7428
7.8091 -1.4264 2.1162
3.2241 -1.2627 1.7396
3.0865 0.9899 3.6343
2.1390 -2.9713 1.1870
6.5685 -0.7537 3.6689
6.7191 -3.0622 1.6279
1.9883 -0.6628 3.2280
4.5802 -0.0909 0.4409
0.0000 0.0000 0.0000
```

Raw formation energy, eV/atom: -1.144
Total magnetic moment, μB/cell: 1.691
SG: No. 163
Crystal system: trigonal


VASP calculation (PBE) on an optimized crystal structure of La5Ho2Tm3.

```
La5Ho2Tm3
1.0
0.4336 -5.5380 -8.4969
-1.4153 -9.9697 1.2049
-6.8134 8.6733 2.6740
La Tm Ho
10 6 4
Cartesian
-2.5772 -10.0758 -3.5833
-3.9836 -5.9434 -1.9722
-4.8118 -3.0974 2.1950
-5.7182 -4.6065 -4.6979
-5.2178 3.2413 -1.0347
-2.9833 -3.7371 -6.8130
-3.8115 -0.8911 -2.6459
-6.8668 -0.5065 -3.0525
-2.0769 -2.2280 0.0799
-0.9282 -6.3280 -1.5656
-2.0317 -6.5073 -4.8955
-5.7634 -0.3272 0.2775
-5.0212 -1.0570 -5.9900
-7.8266 -2.7179 1.7938
0.0315 -4.1166 -6.4118
-2.7739 -5.7775 1.3719
-1.7879 -3.5811 -3.4904
-4.8982 1.8844 -4.6009
-2.8968 -8.7189 -0.0172
-6.0072 -3.2534 -1.1277
```

Calculated formation energy, eV/atom: 0.163
Total magnetic moment, μB/cell: 0.000
SG: No. 15
Crystal system: monoclinic


VASP calculation (PBE) on an optimized crystal structure of CoRhSe2.

```
CoRhSe2
1.0
-1.8511 -3.1154 2.6560
-1.8646 -3.6688 -1.8027
1.9847 -4.0008 0.4906
Co Se Rh
1 2 1
Cartesian
-0.8655 -5.3925 0.6719
0.0000 0.0000 0.0000
-0.4327 -2.6962 0.3359
-1.2982 -8.0887 1.0078
```

Raw formation energy, eV/atom: 0.589
Total magnetic moment, μB/cell: 2.064
SG: No. 216
Crystal system: cubic


VASP calculation (PBE) on an optimized crystal structure of BaSmPb4.

```
BaSmPb4
1.0
6.6037 0.0000 0.0000
3.3019 5.7190 0.0000
3.3019 1.9063 5.3919
Pb Ba Sm
4 1 1
Cartesian
6.6037 1.8924 3.3749
4.9408 4.7728 3.3749
8.2667 4.7728 3.3749
6.6037 3.8127 0.6592
3.3019 1.9063 1.3480
0.0000 0.0000 0.0000
```

Calculated formation energy, eV/atom: -0.274
Total magnetic moment, μB/cell: 0.000
SG: No. 216
Crystal system: cubic


VASP calculation (PBE) on an optimized crystal structure of Cr2GeAs.

```
Cr2GeAs
1.0
-0.0682 3.1879 -0.8139
-2.5520 1.2134 -1.6866
-4.0502 2.8872 4.9949
Cr Ge As
2 1 1
Cartesian
-4.9746 5.4537 1.8191
-1.6958 1.8347 0.6753
0.0000 0.0000 0.0000
-3.3352 3.6442 1.2472
```

Calculated formation energy, eV/atom: 0.170
Total magnetic moment, μB/cell: 5.201
SG: No. 166
Crystal system: trigonal


VASP calculation (PBE) on an optimized crystal structure of ZrGaOs.

```
ZrGaOs
1.0
5.2759 0.0000 0.0000
0.0000 5.2256 0.0000
0.0000 0.0000 7.3647
Ga Zr Os
4 4 4
Cartesian
0.0000 0.0000 0.0000
0.0000 2.6128 0.0000
2.6379 2.6128 3.6824
2.6379 0.0000 3.6824
0.0000 1.3064 4.5770
0.0000 3.9192 2.7878
2.6379 1.3064 6.4702
2.6379 3.9192 0.8946
3.9569 1.3064 1.8412
1.3190 1.3064 1.8412
1.3190 3.9192 5.5236
3.9569 3.9192 5.5236
```

Calculated formation energy, eV/atom: -0.426
Total magnetic moment, μB/cell: 0.000
SG: No. 74
Crystal system: orthorhombic


VASP calculation (PBE) on an optimized crystal structure of SrTaOs4.

```
SrTaOs4
1.0
0.6913 3.0106 4.3056
2.0382 4.8687 -0.4707
-3.0720 4.2457 0.7854
Os Ta Sr
4 1 1
Cartesian
-1.6690 6.6716 2.1248
0.2184 6.0522 3.8902
0.8939 6.9841 1.4948
-0.1283 4.5423 1.7309
0.0000 0.0000 0.0000
-0.2569 9.0938 3.4652
```

Calculated formation energy, eV/atom: 0.377
Total magnetic moment, μB/cell: 0.000
SG: No. 216
Crystal system: cubic


VASP calculation (PBE) on an optimized crystal structure of Ru.

```
Ru
1.0
6.7223 0.0000 0.0000
0.0000 6.7223 0.0000
0.0000 0.0000 6.7223
Ru
12
Cartesian
5.0417 0.0000 3.3611
5.0417 3.3611 0.0000
1.6806 0.0000 3.3611
0.0000 3.3611 5.0417
0.0000 3.3611 1.6806
0.0000 5.0417 3.3611
1.6806 3.3611 0.0000
0.0000 1.6806 3.3611
3.3611 0.0000 1.6806
3.3611 5.0417 0.0000
3.3611 1.6806 0.0000
3.3611 0.0000 5.0417
```

Calculated formation energy, eV/atom: 1.573
Total magnetic moment, μB/cell: 0.000
SG: No. 229
Crystal system: cubic


VASP calculation (PBE) on an optimized crystal structure of TaCoSe2.

```
TaCoSe2
1.0
3.7364 0.0000 0.0000
0.0000 3.7386 0.1052
0.0000 -0.1559 6.6572
Ta Se Co
1 2 1
Cartesian
0.0000 1.3046 4.2009
1.8682 1.3524 2.5024
0.0000 3.1262 5.9502
1.8682 3.1737 4.2527
```

Raw formation energy, eV/atom: -0.436
Total magnetic moment, μB/cell: 0.227
SG: No. 6
Crystal system: monoclinic


VASP calculation (PBE) on an optimized crystal structure of Tm5Tl4Ni.

```
Tm5Tl4Ni
1.0
5.2910 0.0000 0.0000
2.6455 7.1823 0.0000
2.6455 0.0000 7.1823
Tm Tl Ni
5 4 1
Cartesian
2.6507 4.6462 0.1865
5.2962 0.1865 2.5360
7.9417 2.5360 6.9958
5.2962 6.9958 4.6462
2.6501 0.0000 0.0000
7.9425 4.9133 4.7986
2.6516 2.2690 2.3837
5.2971 4.7986 2.2689
5.2970 2.3837 4.9133
0.0046 0.0000 0.0000
```

Calculated formation energy, eV/atom: -0.190
Total magnetic moment, μB/cell: 0.000
SG: No. 87
Crystal system: tetragonal


VASP calculation (PBE) on an optimized crystal structure of UTa2Os.

```
UTa2Os
1.0
-2.4085 -0.0742 3.9871
2.0911 -1.2814 3.9610
0.8686 3.1661 3.3053
Ta Os U
2 1 1
Cartesian
0.4134 1.3579 8.4401
0.1378 0.4526 2.8134
0.2756 0.9052 5.6267
0.0000 0.0000 0.0000
```

Calculated formation energy, eV/atom: 0.167
Total magnetic moment, μB/cell: 1.198
SG: No. 225
Crystal system: cubic


Fermi-level density of states (computed, states/eV/f.u.): 3.2; 6.2; 6.6; 3.1; 8.8; 2.6; 6.5; 3.3; 0.7; 2.8; 17.2; 5.4; 4.3; 2.9; 2.4; 6.1; 1.3; 2.4; 7.0; 5.6
Mass density (computed, Mg/m³): 12.0; 6.9; 8.8; 7.7; 8.5; 10.9; 5.3; 6.4; 8.6; 5.3; 7.4; 8.3; 9.1; 6.6; 11.5; 16.2; 6.6; 7.1; 10.5; 18.4